Record 1
Here is Cr2InNiRu after structural relaxation from Alexandria via LeMat-Bulk. Energies are from PBE-GGA.

```
Cr2InNiRu
1.0
4.420 0.000 0.000
0.000 4.420 0.000
0.000 0.000 4.673
Cr In Ni Ru
2 1 1 1
Direct
0.000 0.500 0.000
0.500 0.000 0.000
0.000 0.000 0.500
0.000 0.000 0.000
0.500 0.500 0.500
```

Values from the calculation:
SG: P4/mmm (123)
ΔE_f, eV per formula unit: 5.653

=====

Record 2
Here is CrInNiS3 after structural relaxation from Alexandria via LeMat-Bulk. Energies are from PBE-GGA.

```
CrInNiS3
1.0
7.557 0.000 0.000
0.000 3.490 0.000
-3.576 0.000 8.588
Cr In Ni S
2 2 2 6
Direct
0.034 0.250 0.334
0.966 0.750 0.666
0.492 0.750 0.778
0.508 0.250 0.222
0.026 0.750 0.109
0.974 0.250 0.891
0.158 0.250 0.615
0.168 0.750 0.930
0.252 0.750 0.343
0.748 0.250 0.657
0.832 0.250 0.070
0.842 0.750 0.385
```

Values from the calculation:
SG: P2_1/m (11)
E_form (uncorrected), kJ per mole of atoms: -45